Record 1
Computed, not measured: ScRhCl2 at its PBEsol-relaxed geometry at the meta-GGA SCAN level of DFT.

Results
Uncorrected formation energy: -1.04 eV/atom
Distance to the lowest polymorph of the same formula: 226 meV per atom

Cell: 3.4996 3.9188 6.7258 Å, 106.94 105.08 90.00°
Element x y z (fractional)
Cl1 0.6500 0.6500 0.3000
Cl2 0.3500 0.3500 0.7000
Rh1 0.5000 0.0000 0.0000
Sc1 0.0000 0.5000 0.0000

***

Record 2
Computed, not measured: Sc2RhCl at its PBEsol-relaxed geometry at the meta-GGA SCAN level of DFT.

Results
Uncorrected formation energy: -1.05 eV/atom
Distance to the lowest polymorph of the same formula: 229 meV per atom

Cell: 3.1590 4.3403 5.1995 Å, 90.00 90.00 90.00°
Element x y z (fractional)
Rh1 0.5000 0.5000 0.5000
Cl1 0.0000 0.0000 0.0000
Sc1 0.0000 0.0000 0.5000
Sc2 0.5000 0.5000 0.0000

***

Record 3
Computed, not measured: ScSnRh2Cl at its PBEsol-relaxed geometry at the meta-GGA SCAN level of DFT.

Results
Uncorrected formation energy: 0.42 eV/atom

Cell: 4.7952 4.7952 5.0452 Å, 90.00 90.00 90.00°
Element x y z (fractional)
Rh1 0.0000 0.5000 0.0000
Rh2 0.5000 0.0000 0.0000
Sc1 0.5000 0.5000 0.5000
Cl1 0.0000 0.0000 0.5000
Sn1 0.0000 0.0000 0.0000

***

Record 4
Computed, not measured: SiRhCl at its PBEsol-relaxed geometry at the meta-GGA SCAN level of DFT.

Results
Uncorrected formation energy: -0.69 eV/atom

Cell: 2.9965 2.9965 6.0851 Å, 104.25 104.25 90.00°
Element x y z (fractional)
Cl1 0.0143 0.0143 0.0285
Si1 0.1966 0.1966 0.3931
Rh1 0.7892 0.7892 0.5783

***

Record 5
Computed, not measured: SrRh2Cl at its PBEsol-relaxed geometry at the meta-GGA SCAN level of DFT.

Results
Uncorrected formation energy: 0.40 eV/atom

Cell: 4.6514 4.6514 4.6514 Å, 60.00 60.00 60.00°
Element x y z (fractional)
Rh1 0.7500 0.7500 0.7500
Rh2 0.2500 0.2500 0.2500
Sr1 0.5000 0.5000 0.5000
Cl1 0.0000 0.0000 0.0000

***

Record 6
Computed, not measured: SrRhCl4 at its PBEsol-relaxed geometry at the meta-GGA SCAN level of DFT.

Results
Uncorrected formation energy: -0.20 eV/atom

Cell: 5.7788 5.7788 5.7788 Å, 60.00 60.00 60.00°
Element x y z (fractional)
Cl1 0.3755 0.3755 0.8735
Cl2 0.3755 0.8735 0.3755
Cl3 0.8735 0.3755 0.3755
Cl4 0.3755 0.3755 0.3755
Sr1 0.0000 0.0000 0.0000
Rh1 0.7500 0.7500 0.7500

***

Record 7
Computed, not measured: Ta3RhCl at its PBEsol-relaxed geometry at the meta-GGA SCAN level of DFT.

Results
Uncorrected formation energy: 0.95 eV/atom

Cell: 4.4261 4.4261 4.4261 Å, 90.00 90.00 90.00°
Element x y z (fractional)
Ta1 0.0000 0.5000 0.0000
Ta2 0.5000 0.0000 0.0000
Ta3 0.0000 0.0000 0.5000
Cl1 0.0000 0.0000 0.0000
Rh1 0.5000 0.5000 0.5000

***

Record 8
Computed, not measured: TaRhCl3 at its PBEsol-relaxed geometry at the meta-GGA SCAN level of DFT.

Results
Uncorrected formation energy: 0.28 eV/atom

Cell: 4.7309 4.7309 4.7309 Å, 90.00 90.00 90.00°
Element x y z (fractional)
Cl1 0.5000 0.0000 0.0000
Cl2 0.0000 0.5000 0.0000
Cl3 0.0000 0.0000 0.5000
Ta1 0.0000 0.0000 0.0000
Rh1 0.5000 0.5000 0.5000

***

Number 1: M_tot 0.03 μB per atom, raw total energy -17.03 eV per atom. Number 2: M_tot 0.00 μB per atom, raw total energy -18.60 eV per atom. Number 3: M_tot 0.00 μB per atom, raw total energy -24.71 eV per atom. Number 4: M_tot 0.00 μB per atom, raw total energy -17.94 eV per atom. Number 5: M_tot 0.33 μB per atom, raw total energy -24.05 eV per atom. Number 6: M_tot 0.51 μB per atom, raw total energy -14.86 eV per atom. Number 7: M_tot 0.00 μB per atom, raw total energy -47.35 eV per atom. Number 8: M_tot 0.31 μB per atom, raw total energy -24.58 eV per atom.